1.
# ScZn2In GGA-PBE optimized geometry
data_ScZn2In
_cell_length_a 4.638
_cell_length_b 10.546
_cell_length_c 6.128
_cell_angle_alpha 90.00
_cell_angle_beta 90.00
_cell_angle_gamma 90.00
_space_group_name_H-M_alt 'A m a 2'
_space_group_IT_number 40
loop_
_space_group_symop_operation_xyz
'x,y,z'
'-x,-y,z'
'-x+1/2,y,z'
'x+1/2,-y,z'
'x,y+1/2,z+1/2'
'-x,-y+1/2,z+1/2'
'-x+1/2,y+1/2,z+1/2'
'x+1/2,-y+1/2,z+1/2'
loop_
_atom_site_label
_atom_site_type_symbol
_atom_site_fract_x
_atom_site_fract_y
_atom_site_fract_z
Sc1 Sc 0.250 0.166 0.000
Zn1 Zn 0.250 0.165 0.477
Zn2 Zn 0.250 0.422 0.751
In1 In 0.250 0.410 0.235
# Calculated total energy: -3.152 eV per atom
# Theoretical density: 6.4 Mg/m³



2.
# Sc2Zn3In3 GGA-PBE optimized geometry
data_Sc2Zn3In3
_cell_length_a 6.2537
_cell_length_b 6.2537
_cell_length_c 4.7110
_cell_angle_alpha 90.00
_cell_angle_beta 90.00
_cell_angle_gamma 120.00
_space_group_name_H-M_alt 'P -6 m 2'
_space_group_IT_number 187
_space_group_name_Hall 'P -6 2'
loop_
_atom_site_label
_atom_site_type_symbol
_atom_site_fract_x
_atom_site_fract_y
_atom_site_fract_z
Sc1 Sc 0.0000 0.0000 0.0000
Sc2 Sc 0.3333 0.6667 0.5000
Zn1 Zn 0.0179 0.5089 0.0000
In1 In 0.3431 0.1716 0.5000
# Calculated total energy: -3.325 eV per atom
# Theoretical density: 6.6 Mg/m³



3.
# ScZnIn2 GGA-PBE optimized geometry
data_ScZnIn2
_cell_length_a 7.064
_cell_length_b 7.064
_cell_length_c 7.064
_cell_angle_alpha 90.00
_cell_angle_beta 90.00
_cell_angle_gamma 90.00
_space_group_name_H-M_alt 'F -4 3 m'
_space_group_IT_number 216
_space_group_name_Hall 'F -4 2 3'
loop_
_atom_site_label
_atom_site_type_symbol
_atom_site_fract_x
_atom_site_fract_y
_atom_site_fract_z
Sc1 Sc 0.000 0.000 0.000
Zn1 Zn 0.250 0.250 0.250
In1 In 0.000 0.000 0.500
In2 In 0.250 0.250 0.750
# Calculated total energy: -3.324 eV per atom
# Theoretical density: 6.4 Mg/m³



4.
# Zr3Sc2In3 GGA-PBE optimized geometry
data_Zr3Sc2In3
_cell_length_a 6.3344
_cell_length_b 6.3344
_cell_length_c 5.2429
_cell_angle_alpha 90.00
_cell_angle_beta 90.00
_cell_angle_gamma 120.00
_space_group_name_H-M_alt 'P -6 m 2'
_space_group_IT_number 187
_space_group_name_Hall 'P -6 2'
loop_
_atom_site_label
_atom_site_type_symbol
_atom_site_fract_x
_atom_site_fract_y
_atom_site_fract_z
Zr1 Zr 0.0029 0.5014 0.0000
Sc1 Sc 0.0000 0.0000 0.0000
Sc2 Sc 0.6667 0.3333 0.5000
In1 In 0.1691 0.3382 0.5000
# Calculated total energy: -6.017 eV per atom
# Theoretical density: 6.5 Mg/m³



5.
# Zr3ScIn2 GGA-PBE optimized geometry
data_Zr3ScIn2
_cell_length_a 5.7167
_cell_length_b 5.7167
_cell_length_c 5.2066
_cell_angle_alpha 90.00
_cell_angle_beta 90.00
_cell_angle_gamma 120.00
_space_group_name_H-M_alt 'P 6/m m m'
_space_group_IT_number 191
_space_group_name_Hall '-P 6 2'
loop_
_atom_site_label
_atom_site_type_symbol
_atom_site_fract_x
_atom_site_fract_y
_atom_site_fract_z
Zr1 Zr 0.0000 0.5000 0.0000
Sc1 Sc 0.0000 0.0000 0.5000
In1 In 0.3333 0.6667 0.5000
# Calculated total energy: -6.185 eV per atom
# Theoretical density: 6.2 Mg/m³



6.
# Zr3Sc2In3 GGA-PBE optimized geometry
data_Zr3Sc2In3
_cell_length_a 5.186
_cell_length_b 6.319
_cell_length_c 11.203
_cell_angle_alpha 90.00
_cell_angle_beta 90.00
_cell_angle_gamma 90.00
_space_group_name_H-M_alt 'A m m 2'
_space_group_IT_number 38
loop_
_space_group_symop_operation_xyz
'x,y,z'
'-x,-y,z'
'-x,y,z'
'x,-y,z'
'x,y+1/2,z+1/2'
'-x,-y+1/2,z+1/2'
'-x,y+1/2,z+1/2'
'x,-y+1/2,z+1/2'
loop_
_atom_site_label
_atom_site_type_symbol
_atom_site_fract_x
_atom_site_fract_y
_atom_site_fract_z
Zr1 Zr 0.000 0.000 0.000
Zr2 Zr 0.500 0.235 0.081
Sc1 Sc 0.000 0.000 0.497
Sc2 Sc 0.500 0.000 0.831
In1 In 0.000 0.240 0.742
In2 In 0.500 0.000 0.334
# Calculated total energy: -5.965 eV per atom
# Theoretical density: 6.4 Mg/m³



7.
# Zr5Sc2In GGA-PBE optimized geometry
data_Zr5Sc2In
_cell_length_a 5.144
_cell_length_b 6.437
_cell_length_c 11.180
_cell_angle_alpha 90.00
_cell_angle_beta 90.00
_cell_angle_gamma 90.00
_space_group_name_H-M_alt 'A m m 2'
_space_group_IT_number 38
loop_
_space_group_symop_operation_xyz
'x,y,z'
'-x,-y,z'
'-x,y,z'
'x,-y,z'
'x,y+1/2,z+1/2'
'-x,-y+1/2,z+1/2'
'-x,y+1/2,z+1/2'
'x,-y+1/2,z+1/2'
loop_
_atom_site_label
_atom_site_type_symbol
_atom_site_fract_x
_atom_site_fract_y
_atom_site_fract_z
Zr1 Zr 0.000 0.000 0.000
Zr2 Zr 0.000 0.247 0.754
Zr3 Zr 0.500 0.245 0.921
Sc1 Sc 0.000 0.000 0.507
Sc2 Sc 0.500 0.000 0.169
In1 In 0.500 0.000 0.669
# Calculated total energy: -7.349 eV per atom
# Theoretical density: 5.9 Mg/m³



8.
# TmInSnSe3 GGA-PBE optimized geometry
data_TmInSnSe3
_cell_length_a 4.048
_cell_length_b 14.750
_cell_length_c 11.430
_cell_angle_alpha 90.00
_cell_angle_beta 90.00
_cell_angle_gamma 90.00
_space_group_name_H-M_alt 'C m c m'
_space_group_IT_number 63
_space_group_name_Hall '-C 2c 2'
loop_
_atom_site_label
_atom_site_type_symbol
_atom_site_fract_x
_atom_site_fract_y
_atom_site_fract_z
Tm1 Tm 0.000 0.000 0.000
In1 In 0.000 0.322 0.250
Sn1 Sn 0.000 0.357 0.750
Se1 Se 0.000 0.003 0.250
Se2 Se 0.000 0.367 0.002
# Calculated total energy: -4.524 eV per atom
# Theoretical density: 6.2 Mg/m³



9.
# TmInSnSe3 GGA-PBE optimized geometry
data_TmInSnSe3
_cell_length_a 17.284
_cell_length_b 4.092
_cell_length_c 9.907
_cell_angle_alpha 90.00
_cell_angle_beta 107.21
_cell_angle_gamma 90.00
_space_group_name_H-M_alt 'C 1 2/m 1'
_space_group_IT_number 12
loop_
_space_group_symop_operation_xyz
'x,y,z'
'-x,-y,-z'
'-x,y,-z'
'x,-y,z'
'x+1/2,y+1/2,z'
'-x+1/2,-y+1/2,-z'
'-x+1/2,y+1/2,-z'
'x+1/2,-y+1/2,z'
loop_
_atom_site_label
_atom_site_type_symbol
_atom_site_fract_x
_atom_site_fract_y
_atom_site_fract_z
Tm1 Tm 0.179 0.000 0.099
In1 In 0.012 0.500 0.215
Sn1 Sn 0.125 0.000 0.469
Se1 Se 0.000 0.000 0.000
Se2 Se 0.000 0.500 0.500
Se3 Se 0.160 0.500 0.898
Se4 Se 0.211 0.500 0.317
# Calculated total energy: -4.482 eV per atom
# Theoretical density: 6.3 Mg/m³



10.
# TmInSnSe3 GGA-PBE optimized geometry
data_TmInSnSe3
_cell_length_a 4.038
_cell_length_b 14.389
_cell_length_c 11.481
_cell_angle_alpha 90.00
_cell_angle_beta 90.00
_cell_angle_gamma 90.00
_space_group_name_H-M_alt 'C m c m'
_space_group_IT_number 63
_space_group_name_Hall '-C 2c 2'
loop_
_atom_site_label
_atom_site_type_symbol
_atom_site_fract_x
_atom_site_fract_y
_atom_site_fract_z
Tm1 Tm 0.000 0.000 0.000
In1 In 0.000 0.335 0.250
Sn1 Sn 0.000 0.348 0.750
Se1 Se 0.000 0.001 0.750
Se2 Se 0.000 0.364 0.502
# Calculated total energy: -4.521 eV per atom
# Theoretical density: 6.4 Mg/m³



11.
# Sr2InTcSe6 GGA-PBE optimized geometry
data_Sr2InTcSe6
_cell_length_a 6.548
_cell_length_b 6.716
_cell_length_c 7.275
_cell_angle_alpha 68.08
_cell_angle_beta 66.35
_cell_angle_gamma 66.23
_space_group_name_H-M_alt 'P -1'
_space_group_IT_number 2
loop_
_space_group_symop_operation_xyz
'x,y,z'
'-x,-y,-z'
loop_
_atom_site_label
_atom_site_type_symbol
_atom_site_fract_x
_atom_site_fract_y
_atom_site_fract_z
Sr1 Sr 0.241 0.275 0.257
In1 In 0.000 0.000 0.000
Tc1 Tc 0.500 0.500 0.500
Se1 Se 0.165 0.752 0.345
Se2 Se 0.265 0.629 0.836
Se3 Se 0.350 0.169 0.678
# Calculated total energy: -4.562 eV per atom
# Theoretical density: 5.5 Mg/m³



12.
# SrTmInSe3 GGA-PBE optimized geometry
data_SrTmInSe3
_cell_length_a 4.192
_cell_length_b 14.796
_cell_length_c 10.435
_cell_angle_alpha 90.00
_cell_angle_beta 90.00
_cell_angle_gamma 90.00
_space_group_name_H-M_alt 'C m c m'
_space_group_IT_number 63
_space_group_name_Hall '-C 2c 2'
loop_
_atom_site_label
_atom_site_type_symbol
_atom_site_fract_x
_atom_site_fract_y
_atom_site_fract_z
Sr1 Sr 0.000 0.231 0.250
Tm1 Tm 0.000 0.000 0.000
In1 In 0.000 0.481 0.750
Se1 Se 0.000 0.115 0.750
Se2 Se 0.000 0.362 0.537
# Calculated total energy: -4.426 eV per atom
# Theoretical density: 6.2 Mg/m³



13.
# Ta3InSe5 GGA-PBE optimized geometry
data_Ta3InSe5
_cell_length_a 5.8030
_cell_length_b 5.8030
_cell_length_c 7.6945
_cell_angle_alpha 90.00
_cell_angle_beta 90.00
_cell_angle_gamma 120.00
_space_group_name_H-M_alt 'P 6/m m m'
_space_group_IT_number 191
_space_group_name_Hall '-P 6 2'
loop_
_atom_site_label
_atom_site_type_symbol
_atom_site_fract_x
_atom_site_fract_y
_atom_site_fract_z
Ta1 Ta 0.0000 0.5000 0.0000
In1 In 0.0000 0.0000 0.5000
Se1 Se 0.0000 0.0000 0.0000
Se2 Se 0.3333 0.6667 0.2659
# Calculated total energy: -6.627 eV per atom
# Theoretical density: 7.8 Mg/m³



14.
# TaInSe2 GGA-PBE optimized geometry
data_TaInSe2
_cell_length_a 3.4393
_cell_length_b 3.4393
_cell_length_c 9.4189
_cell_angle_alpha 90.00
_cell_angle_beta 90.00
_cell_angle_gamma 120.00
_space_group_name_H-M_alt 'P -6 m 2'
_space_group_IT_number 187
_space_group_name_Hall 'P -6 2'
loop_
_atom_site_label
_atom_site_type_symbol
_atom_site_fract_x
_atom_site_fract_y
_atom_site_fract_z
Ta1 Ta 0.0000 0.0000 0.0000
In1 In 0.6667 0.3333 0.5000
Se1 Se 0.6667 0.3333 0.1783
# Calculated total energy: -6.036 eV per atom
# Theoretical density: 7.8 Mg/m³



15.
# TbZnInSe3 GGA-PBE optimized geometry
data_TbZnInSe3
_cell_length_a 8.532
_cell_length_b 4.343
_cell_length_c 16.323
_cell_angle_alpha 90.00
_cell_angle_beta 90.00
_cell_angle_gamma 90.00
_space_group_name_H-M_alt 'P n m a'
_space_group_IT_number 62
loop_
_space_group_symop_operation_xyz
'x,y,z'
'-x,-y,-z'
'-x+1/2,-y,z+1/2'
'x+1/2,y,-z+1/2'
'x+1/2,-y+1/2,-z+1/2'
'-x+1/2,y+1/2,z+1/2'
'-x,y+1/2,-z'
'x,-y+1/2,z'
loop_
_atom_site_label
_atom_site_type_symbol
_atom_site_fract_x
_atom_site_fract_y
_atom_site_fract_z
Tb1 Tb 0.248 0.250 0.045
Zn1 Zn 0.142 0.750 0.860
In1 In 0.072 0.750 0.286
Se1 Se 0.001 0.250 0.909
Se2 Se 0.128 0.250 0.452
Se3 Se 0.191 0.750 0.712
# Calculated total energy: -4.145 eV per atom
# Theoretical density: 6.3 Mg/m³



16.
# TbZnInSe3 GGA-PBE optimized geometry
data_TbZnInSe3
_cell_length_a 4.108
_cell_length_b 14.602
_cell_length_c 10.947
_cell_angle_alpha 90.00
_cell_angle_beta 90.00
_cell_angle_gamma 90.00
_space_group_name_H-M_alt 'C m c m'
_space_group_IT_number 63
_space_group_name_Hall '-C 2c 2'
loop_
_atom_site_label
_atom_site_type_symbol
_atom_site_fract_x
_atom_site_fract_y
_atom_site_fract_z
Tb1 Tb 0.000 0.000 0.000
Zn1 Zn 0.000 0.463 0.250
In1 In 0.000 0.248 0.750
Se1 Se 0.000 0.067 0.250
Se2 Se 0.000 0.369 0.063
# Calculated total energy: -4.256 eV per atom
# Theoretical density: 5.8 Mg/m³



17.
# TbZnInSe3 GGA-PBE optimized geometry
data_TbZnInSe3
_cell_length_a 10.952
_cell_length_b 4.102
_cell_length_c 14.638
_cell_angle_alpha 90.00
_cell_angle_beta 90.00
_cell_angle_gamma 90.00
_space_group_name_H-M_alt 'P n m a'
_space_group_IT_number 62
loop_
_space_group_symop_operation_xyz
'x,y,z'
'-x,-y,-z'
'-x+1/2,-y,z+1/2'
'x+1/2,y,-z+1/2'
'x+1/2,-y+1/2,-z+1/2'
'-x+1/2,y+1/2,z+1/2'
'-x,y+1/2,-z'
'x,-y+1/2,z'
loop_
_atom_site_label
_atom_site_type_symbol
_atom_site_fract_x
_atom_site_fract_y
_atom_site_fract_z
Tb1 Tb 0.013 0.250 0.244
Zn1 Zn 0.238 0.250 0.714
In1 In 0.223 0.750 0.502
Se1 Se 0.048 0.250 0.624
Se2 Se 0.080 0.750 0.116
Se3 Se 0.239 0.750 0.819
# Calculated total energy: -4.257 eV per atom
# Theoretical density: 5.8 Mg/m³



18.
# TbZnInSe3 GGA-PBE optimized geometry
data_TbZnInSe3
_cell_length_a 14.796
_cell_length_b 4.115
_cell_length_c 11.111
_cell_angle_alpha 90.00
_cell_angle_beta 90.00
_cell_angle_gamma 90.00
_space_group_name_H-M_alt 'P n m a'
_space_group_IT_number 62
loop_
_space_group_symop_operation_xyz
'x,y,z'
'-x,-y,-z'
'-x+1/2,-y,z+1/2'
'x+1/2,y,-z+1/2'
'x+1/2,-y+1/2,-z+1/2'
'-x+1/2,y+1/2,z+1/2'
'-x,y+1/2,-z'
'x,-y+1/2,z'
loop_
_atom_site_label
_atom_site_type_symbol
_atom_site_fract_x
_atom_site_fract_y
_atom_site_fract_z
Tb1 Tb 0.025 0.250 0.158
Zn1 Zn 0.018 0.750 0.401
In1 In 0.244 0.250 0.464
Se1 Se 0.082 0.750 0.614
Se2 Se 0.100 0.250 0.922
Se3 Se 0.142 0.750 0.251
# Calculated total energy: -4.243 eV per atom
# Theoretical density: 5.7 Mg/m³



19.
# TbZnInSe3 GGA-PBE optimized geometry
data_TbZnInSe3
_cell_length_a 8.284
_cell_length_b 4.110
_cell_length_c 10.633
_cell_angle_alpha 90.00
_cell_angle_beta 108.69
_cell_angle_gamma 90.00
_space_group_name_H-M_alt 'P 1 21/m 1'
_space_group_IT_number 11
loop_
_space_group_symop_operation_xyz
'x,y,z'
'-x,-y,-z'
'-x,y+1/2,-z'
'x,-y+1/2,z'
loop_
_atom_site_label
_atom_site_type_symbol
_atom_site_fract_x
_atom_site_fract_y
_atom_site_fract_z
Tb1 Tb 0.193 0.250 0.140
Zn1 Zn 0.425 0.750 0.391
In1 In 0.229 0.750 0.713
Se1 Se 0.053 0.250 0.858
Se2 Se 0.275 0.250 0.439
Se3 Se 0.444 0.750 0.164
# Calculated total energy: -4.238 eV per atom
# Theoretical density: 5.6 Mg/m³



20.
# TbZnInSe3 GGA-PBE optimized geometry
data_TbZnInSe3
_cell_length_a 17.248
_cell_length_b 4.164
_cell_length_c 9.154
_cell_angle_alpha 90.00
_cell_angle_beta 104.95
_cell_angle_gamma 90.00
_space_group_name_H-M_alt 'C 1 2/m 1'
_space_group_IT_number 12
loop_
_space_group_symop_operation_xyz
'x,y,z'
'-x,-y,-z'
'-x,y,-z'
'x,-y,z'
'x+1/2,y+1/2,z'
'-x+1/2,-y+1/2,-z'
'-x+1/2,y+1/2,-z'
'x+1/2,-y+1/2,z'
loop_
_atom_site_label
_atom_site_type_symbol
_atom_site_fract_x
_atom_site_fract_y
_atom_site_fract_z
Tb1 Tb 0.174 0.000 0.095
Zn1 Zn 0.011 0.500 0.215
In1 In 0.137 0.000 0.569
Se1 Se 0.000 0.000 0.000
Se2 Se 0.000 0.500 0.500
Se3 Se 0.158 0.500 0.868
Se4 Se 0.163 0.500 0.302
# Calculated total energy: -4.123 eV per atom
# Theoretical density: 6.0 Mg/m³